Entry 1:
Computed, not measured: crystalline TlTe2Pb at its relaxed geometry at the PBEsol level of DFT.

## Properties
Formation energy (no corrections), kJ per mole of atoms: -10
Fermi-level density of states, states/eV/cell: 2.95

Unit cell a=5.4814 b=5.4814 c=3.9065 alpha=90.00 beta=90.00 gamma=90.00
Space group P4/mmm (No. 123)
One atom of each set of equivalent atoms:
Tl: 0.0000 0.0000 0.0000 [1 per cell]
Te: 0.0000 0.5000 0.5000 [2 per cell]
Pb: 0.5000 0.5000 0.0000 [1 per cell]


Entry 2:
Computed, not measured: crystalline Li2Mg2P at its relaxed geometry at the PBEsol level of DFT.

## Properties
Formation enthalpy at 0 K, eV/atom: -0.197
Fermi-level density of states, states/eV/cell: 3.59

Unit cell a=6.2194 b=6.2194 c=4.3820 alpha=90.00 beta=90.00 gamma=90.00
Space group P4/mbm (No. 127)
One atom of each set of equivalent atoms:
Li: 0.1458 0.3542 0.0000 [4 per cell]
Mg: 0.1750 0.6750 0.5000 [4 per cell]
P: 0.0000 0.0000 0.0000 [2 per cell]


Entry 3:
Computed, not measured: crystalline Zr2ScSb2 at its relaxed geometry at the PBEsol level of DFT.

## Properties
Formation energy (no corrections), kJ per mole of atoms: -75
Fermi-level density of states, states/eV/cell: 7.35

Unit cell a=7.6753 b=7.6753 c=3.7742 alpha=90.00 beta=90.00 gamma=90.00
Space group P4/mbm (No. 127)
One atom of each set of equivalent atoms:
Zr: 0.1516 0.3484 0.0000 [4 per cell]
Sc: 0.0000 0.0000 0.5000 [2 per cell]
Sb: 0.1461 0.6461 0.5000 [4 per cell]


Entry 4:
Computed, not measured: crystalline YHgOF2 at its relaxed geometry at the PBEsol level of DFT.

## Properties
Formation energy (no corrections), kJ per mole of atoms: -245
Fermi-level density of states, states/eV/cell: 1.92

Unit cell a=4.3168 b=4.3168 c=4.4614 alpha=90.00 beta=90.00 gamma=90.00
Space group P4/mmm (No. 123)
One atom of each set of equivalent atoms:
Y: 0.0000 0.0000 0.0000 [1 per cell]
Hg: 0.5000 0.5000 0.5000 [1 per cell]
O: 0.0000 0.0000 0.5000 [1 per cell]
F: 0.0000 0.5000 0.0000 [2 per cell]


| no. | magnetic moment (μB per formula unit) | final energy (eV for the cell shown) |
| --- | --- | --- |
| 1 | 0.0 | -14.11 |
| 2 | 0.0 | -28.29 |
| 3 | 0.0 | -75.55 |
| 4 | 0.0 | -29.21 |